The following is a DFT calculation (PBE) of La8TbTm2 after structural relaxation.

Energy relative to the elements in meV per atom: 103.4
Distance to the lowest polymorph of the same formula in meV per atom: 0
Space group: Immm (71)
Theoretical density in g cm⁻³: 6.794
N(E_F) in states/eV/atom: 1.52

Lattice parameters (Å, degrees): 5.7851 8.2826 9.6315 115.45 107.48 90.00
Closest atoms and distances in Å follow each position.
Fractional positions:
1 La 0.6356 0.8351 0.2712  4 La 3.30-3.68, 1 Tb 3.34, 3 Tm 3.51-3.65
2 La 0.3648 0.5638 0.7297  4 La 3.30-3.68, 1 Tb 3.34, 3 Tm 3.50-3.65
3 La 0.1640 0.1644 0.3280  8 La 3.62-3.85, 2 Tm 3.63, 2 Tb 3.95
4 La 0.9999 0.2930 0.9998  7 La 3.43-3.65, 2 Tm 3.73, 2 Tb 3.78
5 La 0.8360 0.8356 0.6720  8 La 3.62-3.85, 2 Tm 3.63, 2 Tb 3.95
6 La 0.6352 0.4362 0.2703  4 La 3.30-3.68, 1 Tb 3.34, 3 Tm 3.50-3.65
7 La 0.3644 0.1649 0.7288  4 La 3.30-3.68, 1 Tb 3.34, 3 Tm 3.51-3.65
8 La 0.0001 0.7070 0.0002  7 La 3.43-3.65, 2 Tm 3.73, 2 Tb 3.78
9 Tb 0.5000 0.0000 0.0000  4 La 3.34
10 Tm 0.2018 0.7012 0.4036  10 La 3.50-3.73
11 Tm 0.7982 0.2988 0.5964  10 La 3.50-3.73

---

The following is a DFT calculation (PBE) of CaLaDyY after structural relaxation.

Energy relative to the elements in meV per atom: 128.5
Space group: F-43m (216)
Theoretical density in g cm⁻³: 5.053
N(E_F) in states/eV/atom: 1.73

Lattice parameters (Å, degrees): 5.8483 5.8483 5.8483 60.00 60.00 60.00
Closest atoms and distances in Å follow each position.
Fractional positions:
1 Y 0.0000 0.0000 0.0000  4 Ca 3.58, 4 Dy 3.58
2 Ca 0.7500 0.7500 0.7500  4 La 3.58, 4 Y 3.58
3 La 0.5000 0.5000 0.5000  4 Dy 3.58, 4 Ca 3.58
4 Dy 0.2500 0.2500 0.2500  4 La 3.58, 4 Y 3.58